Entry from Alexandria via LeMat-Bulk: a relaxed structure of ZrAgAu (PBE-GGA).

extended XYZ file:
```
12
Lattice="6.940 0.000 0.000 0.000 5.478 0.000 -1.894 0.000 6.332" Properties=species:S:1:pos:R:3 pbc="T T T"
Zr 0.572 0.826 2.372
Zr -0.375 1.913 5.538
Zr 5.421 3.565 0.794
Zr 4.474 4.653 3.960
Ag 2.654 3.248 1.848
Ag 1.707 4.970 5.014
Ag 3.339 0.508 1.317
Ag 2.392 2.231 4.483
Au 0.118 3.640 3.162
Au -0.829 4.577 6.328
Au 5.875 0.901 0.004
Au 4.928 1.838 3.170
```

Computed properties:
E above lowest polymorph (eV/atom): 0.132

***

Entry from Alexandria via LeMat-Bulk: a relaxed structure of Ac3MgGa2Ge6 (PBE-GGA).

extended XYZ file:
```
12
Lattice="6.421 0.000 0.000 -3.210 5.561 0.000 0.000 0.000 8.606" Properties=species:S:1:pos:R:3 pbc="T T T"
Ac 0.000 0.000 0.000
Ac 0.000 3.707 5.478
Ac 3.210 1.854 3.128
Mg 0.000 0.000 4.303
Ga 0.000 3.707 0.217
Ga 3.210 1.854 8.388
Ge 0.000 2.194 2.457
Ge -1.311 4.464 2.457
Ge 1.900 1.097 6.149
Ge 1.311 4.464 2.457
Ge 4.521 1.097 6.149
Ge 3.210 3.367 6.149
```

Computed properties:
Total energy (eV for the cell shown): -53.3

***

Entry from Alexandria via LeMat-Bulk: a relaxed structure of Pr4Ho3Pu (PBE-GGA).

extended XYZ file:
```
8
Lattice="-1.747 5.838 6.529 1.747 -5.838 6.529 1.747 5.838 -6.529" Properties=species:S:1:pos:R:3 pbc="T T T"
Pr 1.747 -2.927 4.824
Pr 0.000 2.910 1.705
Pr 1.747 2.927 4.824
Pr 0.000 8.765 1.705
Ho 1.747 0.000 3.027
Ho 0.000 0.000 6.529
Ho 0.000 5.838 3.502
Pu 0.000 0.000 0.000
```

Computed properties:
Total energy (eV for the cell shown): -45.9

***

Entry from Alexandria via LeMat-Bulk: a relaxed structure of BaPaBi2 (PBE-GGA).

extended XYZ file:
```
4
Lattice="2.344 1.354 8.074 -2.344 1.354 8.074 0.000 -2.707 8.074" Properties=species:S:1:pos:R:3 pbc="T T T"
Ba 0.000 0.000 0.000
Pa 0.000 0.000 12.111
Bi 0.000 0.000 5.746
Bi 0.000 0.000 18.477
```

Computed properties:
E above lowest polymorph (eV/atom): 0.000

***

Entry from Alexandria via LeMat-Bulk: a relaxed structure of Tl4CrCl5 (PBE-GGA).

extended XYZ file:
```
10
Lattice="-4.907 4.907 3.191 4.907 -4.907 3.191 4.907 4.907 -3.191" Properties=species:S:1:pos:R:3 pbc="T T T"
Tl 3.009 0.853 0.000
Tl 4.054 -1.898 3.191
Tl 0.853 6.806 0.000
Tl 1.898 4.054 3.191
Cr 0.000 0.000 3.369
Cl 5.854 2.585 -0.030
Cl 2.585 3.961 -0.030
Cl 2.323 0.947 3.161
Cl -0.947 2.323 3.161
Cl 0.000 0.000 6.093
```

Computed properties:
Formation energy without anion corrections (eV per formula unit): -8.17

***

Entry from Alexandria via LeMat-Bulk: a relaxed structure of PmZnCdAg (PBE-GGA).

extended XYZ file:
```
4
Lattice="0.000 3.505 3.505 3.505 0.000 3.505 3.505 3.505 0.000" Properties=species:S:1:pos:R:3 pbc="T T T"
Pm 0.000 0.000 0.000
Zn 1.753 1.753 1.753
Cd 3.505 3.505 3.505
Ag 5.258 5.258 5.258
```

Computed properties:
Total energy (eV for the cell shown): -11.0

***

Entry from Alexandria via LeMat-Bulk: a relaxed structure of Pr6GaSi2 (PBE-GGA).

extended XYZ file:
```
18
Lattice="7.380 0.000 0.000 0.000 7.380 0.000 0.000 0.000 11.584" Properties=species:S:1:pos:R:3 pbc="T T T"
Pr 1.536 1.536 0.000
Pr 1.617 1.617 3.835
Pr 1.617 1.617 7.748
Pr 2.073 5.307 1.956
Pr 2.073 5.307 9.627
Pr 2.154 5.226 5.792
Pr 5.226 2.154 5.792
Pr 5.307 2.073 1.956
Pr 5.307 2.073 9.627
Pr 5.763 5.763 3.835
Pr 5.763 5.763 7.748
Pr 5.844 5.844 0.000
Ga 0.000 0.000 5.792
Ga 3.690 3.690 0.000
Si 0.000 0.000 1.996
Si 0.000 0.000 9.587
Si 3.690 3.690 3.796
Si 3.690 3.690 7.788
```

Computed properties:
E above lowest polymorph (eV/atom): 0.276
Formation energy without anion corrections (eV per formula unit): -1.74

***

Entry from Alexandria via LeMat-Bulk: a relaxed structure of Pm5Cd4Co2 (PBE-GGA).

extended XYZ file:
```
22
Lattice="8.076 0.000 0.000 0.000 18.284 0.000 0.000 0.000 3.670" Properties=species:S:1:pos:R:3 pbc="T T T"
Pm 0.000 0.000 0.000
Pm 0.925 7.471 0.000
Pm 2.013 4.043 0.000
Pm 2.025 13.185 0.000
Pm 3.113 16.613 0.000
Pm 4.038 9.142 0.000
Pm 4.963 1.671 0.000
Pm 6.051 5.099 0.000
Pm 6.063 14.241 0.000
Pm 7.151 10.813 0.000
Cd 0.525 15.515 1.835
Cd 1.686 10.407 1.835
Cd 2.352 1.265 1.835
Cd 3.513 6.373 1.835
Cd 4.563 11.912 1.835
Cd 5.724 17.019 1.835
Cd 6.390 7.877 1.835
Cd 7.551 2.770 1.835
Co 0.192 5.543 1.835
Co 3.846 14.685 1.835
Co 4.230 3.599 1.835
Co 7.883 12.741 1.835
```

Computed properties:
Total energy (eV for the cell shown): -88.8

***

Entry from Alexandria via LeMat-Bulk: a relaxed structure of Ho5Tm6Mg (PBE-GGA).

extended XYZ file:
```
12
Lattice="-2.680 4.090 8.216 2.680 -4.090 8.216 2.680 4.090 -8.216" Properties=species:S:1:pos:R:3 pbc="T T T"
Ho 0.000 0.000 0.000
Ho 2.680 0.000 2.683
Ho 0.000 0.000 5.069
Ho 0.000 0.000 11.362
Ho 0.000 4.090 5.533
Tm 2.680 -1.823 5.696
Tm 2.680 2.334 0.000
Tm 0.000 2.267 2.520
Tm 2.680 1.823 5.696
Tm 0.000 1.755 8.216
Tm 0.000 5.912 2.520
Mg 0.000 4.090 0.000
```

Computed properties:
Total energy (eV for the cell shown): -50.7

***

Entry from Alexandria via LeMat-Bulk: a relaxed structure of CrIrOs (PBE-GGA).

extended XYZ file:
```
3
Lattice="4.208 0.000 0.000 -2.104 3.644 0.000 0.000 0.000 2.694" Properties=species:S:1:pos:R:3 pbc="T T T"
Cr 0.000 0.000 0.000
Ir 2.104 1.215 1.347
Os 0.000 2.429 0.000
```

Computed properties:
E above lowest polymorph (eV/atom): 0.210

***

Entry from Alexandria via LeMat-Bulk: a relaxed structure of Nd8SnSb5 (PBE-GGA).

extended XYZ file:
```
14
Lattice="-4.763 4.763 4.766 4.763 -4.763 4.766 4.763 4.763 -4.766" Properties=species:S:1:pos:R:3 pbc="T T T"
Nd 4.099 3.063 -2.905
Nd 4.089 1.705 0.515
Nd 0.665 1.701 1.861
Nd 3.058 -0.675 4.251
Nd 1.705 5.438 -0.515
Nd 1.701 -0.665 7.672
Nd 0.675 3.058 5.282
Nd 3.063 5.428 2.905
Sn 0.000 4.763 2.383
Sb -2.375 3.570 5.958
Sb 1.193 2.389 -1.192
Sb 7.138 1.193 1.192
Sb 0.000 0.000 4.766
Sb 3.570 2.375 3.574
```

Computed properties:
Formation energy without anion corrections (eV per formula unit): -14.16

***

Entry from Alexandria via LeMat-Bulk: a relaxed structure of RbHfN2O (PBE-GGA).

extended XYZ file:
```
5
Lattice="4.297 0.000 0.000 0.000 4.297 0.000 0.000 0.000 3.985" Properties=species:S:1:pos:R:3 pbc="T T T"
Rb 0.000 0.000 0.000
Hf 2.148 2.148 1.992
N 0.000 2.148 0.000
N 2.148 0.000 0.000
O 0.000 0.000 1.992
```

Computed properties:
Formation energy without anion corrections (eV per formula unit): 9.46